No. 1
SiTe2 after structural relaxation, computed with GGA-PBEsol.

## Properties
density of states at the Fermi level	1.991	states/eV/f.u.
E_form (uncorrected)	0.21	eV per atom

Lattice parameters (Å, degrees): 6.4065 6.4065 3.9816 90.00 90.00 90.00
Space group P4_2/mnm (No. 136)
Unique sites:
Si1 0.0000 0.0000 0.0000
Te1 0.2002 0.2002 0.5000



No. 2
LiPAu3 after structural relaxation, computed with GGA-PBEsol.

## Properties
density of states at the Fermi level	2.430	states/eV/f.u.
energy relative to the elements	35	meV per atom

Lattice parameters (Å, degrees): 4.6856 4.6856 4.6856 90.00 90.00 90.00
Space group Pm-3m (No. 221)
Unique sites:
Li1 0.0000 0.0000 0.0000
P1 0.5000 0.5000 0.5000
Au1 0.0000 0.5000 0.5000



No. 3
Y2AlTc2 after structural relaxation, computed with GGA-PBEsol.

## Properties
density of states at the Fermi level	5.396	states/eV/f.u.
energy relative to the elements	-137	meV per atom

Lattice parameters (Å, degrees): 6.7125 6.7125 4.4986 90.00 90.00 90.00
Space group P4/mbm (No. 127)
Unique sites:
Y1 0.1782 0.3218 0.0000
Al1 0.0000 0.0000 0.5000
Tc1 0.1214 0.6214 0.5000



No. 4
LiZrAg2 after structural relaxation, computed with GGA-PBEsol.

## Properties
density of states at the Fermi level	2.005	states/eV/f.u.
energy relative to the elements	-58	meV per atom

Lattice parameters (Å, degrees): 5.0034 5.0034 2.8995 90.00 90.00 90.00
Space group P4/mmm (No. 123)
Unique sites:
Li1 0.0000 0.0000 0.0000
Zr1 0.5000 0.5000 0.0000
Ag1 0.0000 0.5000 0.5000



Question: What is the density of states at the Fermi level in the second record?
Answer: 2.430 states/eV/f.u.



Question: The lowest density of states at the Fermi level belongs to which entry?
Answer: SiTe2